TbErNO | GGA-PBE | optimized geometry

Computed properties:
As for the symmetry: No. 51. The magnetic moment comes out at 0.02 μB per formula unit. Its energy above the most stable polymorph in this dataset is 0.0000 eV/atom.

```
TbErNO
1.0
3.954 0.000 0.000
0.000 4.838 0.000
0.000 0.000 6.859
Er N O Tb
2 2 2 2
Direct
0.000 0.438 0.333
0.000 0.938 0.667
0.000 0.938 0.340
0.000 0.438 0.660
0.500 0.439 0.181
0.500 0.939 0.819
0.500 0.438 0.835
0.500 0.938 0.165
```

=====

Cu5Ag4 | GGA-PBE | optimized geometry

Computed properties:
As for the symmetry: No. 139. As for the formation enthalpy at 0 K: 0.04 eV per atom. Its energy above the most stable polymorph in this dataset is 0.0000 eV/atom.

```
Cu5Ag4
1.0
-1.426 1.426 16.054
1.426 -1.426 16.054
1.426 1.426 -16.054
Ag Cu
4 5
Direct
0.283 0.283 0.000
0.717 0.717 0.000
0.150 0.150 0.000
0.850 0.850 0.000
0.954 0.954 0.000
0.408 0.408 0.000
0.592 0.592 0.000
0.046 0.046 0.000
0.500 0.500 0.000
```

=====

Sm2PClF | GGA-PBE | optimized geometry

Computed properties:
As for the symmetry: No. 156. The magnetic moment comes out at 0.00 μB per formula unit.

```
Sm2PClF
1.0
3.960 0.000 0.000
-1.980 3.429 0.000
0.000 0.000 8.151
F Sm Cl P
1 2 1 1
Direct
0.667 0.333 0.330
0.667 0.333 0.823
0.333 0.667 0.220
0.333 0.667 0.607
0.000 0.000 0.019
```

=====

LiLu2Ag | GGA-PBE | optimized geometry

Computed properties:
As for the symmetry: No. 216. The magnetic moment comes out at 0.00 μB per formula unit.

```
LiLu2Ag
1.0
-3.415 -0.295 3.628
-4.365 2.372 -0.483
-4.192 -2.611 -0.725
Ag Lu Li
1 2 1
Direct
0.250 0.250 0.250
0.000 0.000 0.000
0.750 0.750 0.750
0.500 0.500 0.500
```

=====

Bi2MoAs | GGA-PBE | optimized geometry

Computed properties:
As for the symmetry: No. 216. The magnetic moment comes out at 0.98 μB per formula unit.

```
Bi2MoAs
1.0
0.000 3.560 3.560
3.560 0.000 3.560
3.560 3.560 0.000
Bi As Mo
2 1 1
Direct
0.750 0.750 0.750
0.000 0.000 0.000
0.500 0.500 0.500
0.250 0.250 0.250
```

=====

NiCl2 | GGA-PBE | optimized geometry

Computed properties:
As for the symmetry: No. 136. The magnetic moment comes out at 1.98 μB per formula unit.

```
NiCl2
1.0
-1.427 -4.893 -2.438
4.449 0.424 -3.456
2.011 -1.768 2.371
Cl Ni
4 2
Direct
0.805 0.195 0.500
0.195 0.805 0.500
0.305 0.305 0.000
0.695 0.695 0.000
0.000 0.000 0.000
0.500 0.500 0.500
```

=====

LiSnAuSeS2 | GGA-PBE | optimized geometry

Computed properties:
As for the symmetry: No. 63.

```
LiSnAuSeS2
1.0
1.905 -6.798 0.000
1.905 6.798 0.000
0.000 0.000 10.243
Au S Li Se Sn
2 4 2 2 2
Direct
0.350 0.650 0.750
0.650 0.350 0.250
0.366 0.634 0.525
0.634 0.366 0.475
0.366 0.634 0.975
0.634 0.366 0.025
0.692 0.308 0.750
0.308 0.692 0.250
0.068 0.932 0.750
0.932 0.068 0.250
0.000 0.000 0.000
0.000 0.000 0.500
```

=====

SrLu | GGA-PBE | optimized geometry

Computed properties:
As for the symmetry: No. 216. The magnetic moment comes out at 0.89 μB per formula unit. Its energy above the most stable polymorph in this dataset is 1.4490 eV/atom.

```
SrLu
1.0
4.686 -3.537 -0.043
3.983 0.351 4.299
0.450 -4.324 3.945
Lu Sr
1 1
Direct
0.000 0.000 0.000
0.250 0.250 0.250
```

=====

Total energy / eV/atom: -7.86 -3.28 -6.04 -3.34 -5.15 -3.56 -3.93 -1.36